No. 1
Density functional theory data (GGA-PBE) for a relaxed structure of Zn2CuMo.

Output
- Energy: -4.21 eV per atom
- Spin magnetization: 0.00 Bohr magnetons per cell

Unit cell a=2.6500 b=3.8240 c=5.5812 alpha=90.00 beta=90.00 gamma=90.00
Space group Pmm2 (No. 25)
Inequivalent atoms, fractional coordinates:
Zn 0.0000 0.0000 0.0000 x1
Zn 0.5000 0.5000 0.2528 x1
Cu 0.0000 0.0000 0.4913 x1
Mo 0.5000 0.5000 0.7433 x1

=====

No. 2
Density functional theory data (GGA-PBE) for a relaxed structure of ZnCuMo2.

Output
- Energy: -6.67 eV per atom
- Spin magnetization: 0.00 Bohr magnetons per cell

Unit cell a=3.2451 b=4.1961 c=8.5973 alpha=90.00 beta=90.00 gamma=90.00
Space group Cmm2 (No. 35)
Inequivalent atoms, fractional coordinates:
Zn 0.0000 0.0000 0.0000 x2
Cu 0.0000 0.5000 0.2305 x2
Mo 0.0000 0.0000 0.4762 x2
Mo 0.0000 0.5000 0.7416 x2

=====

No. 3
Density functional theory data (GGA-PBE) for a relaxed structure of ZnCu3Mo.

Output
- Energy: -3.77 eV per atom
- Spin magnetization: 0.19 Bohr magnetons per cell

Unit cell a=4.2937 b=4.2937 c=4.2937 alpha=90.00 beta=90.00 gamma=90.00
Space group Pm-3m (No. 221)
Inequivalent atoms, fractional coordinates:
Zn 0.0000 0.0000 0.0000 x1
Cu 0.0000 0.0000 0.5000 x3
Mo 0.5000 0.5000 0.5000 x1

=====

No. 4
Density functional theory data (GGA-PBE) for a relaxed structure of Zn2CuMo.

Output
- Energy: -4.09 eV per atom
- Spin magnetization: 6.45 Bohr magnetons per cell

Unit cell a=6.1145 b=6.1145 c=6.1145 alpha=90.00 beta=90.00 gamma=90.00
Space group Fm-3m (No. 225)
Inequivalent atoms, fractional coordinates:
Zn 0.2500 0.2500 0.2500 x8
Cu 0.0000 0.0000 0.0000 x4
Mo 0.0000 0.0000 0.5000 x4

=====

No. 5
Density functional theory data (GGA-PBE) for a relaxed structure of ZnCuMo2.

Output
- Energy: -6.64 eV per atom
- Spin magnetization: 0.00 Bohr magnetons per cell

Unit cell a=2.6773 b=4.2937 c=5.1104 alpha=90.00 beta=96.69 gamma=90.00
Space group Pm (No. 6)
Inequivalent atoms, fractional coordinates:
Zn 0.0000 0.0000 0.0000 x1
Cu 0.0436 0.5000 0.2459 x1
Mo 0.4158 0.5000 0.7533 x1
Mo 0.6217 0.0000 0.4908 x1

=====

No. 6
Density functional theory data (GGA-PBE) for a relaxed structure of Zn2CuMo.

Output
- Energy: -4.19 eV per atom
- Spin magnetization: 0.59 Bohr magnetons per cell

Unit cell a=2.6415 b=4.6950 c=9.1724 alpha=90.00 beta=90.00 gamma=90.00
Space group Immm (No. 71)
Inequivalent atoms, fractional coordinates:
Zn 0.0000 0.0000 0.2324 x4
Cu 0.0000 0.5000 0.5000 x2
Mo 0.0000 0.5000 0.0000 x2

=====

No. 7
Density functional theory data (GGA-PBE) for a relaxed structure of Zn2CuMo.

Output
- Energy: -4.28 eV per atom
- Spin magnetization: 0.00 Bohr magnetons per cell

Unit cell a=5.5389 b=8.0934 c=2.5531 alpha=90.00 beta=90.00 gamma=90.00
Space group Cmmm (No. 65)
Inequivalent atoms, fractional coordinates:
Zn 0.2500 0.2500 0.0000 x4
Cu 0.0000 0.0000 0.5000 x2
Mo 0.0000 0.5000 0.5000 x2

=====

No. 8
Density functional theory data (GGA-PBE) for a relaxed structure of ZnCuMo2.

Output
- Energy: -6.62 eV per atom
- Spin magnetization: 0.00 Bohr magnetons per cell

Unit cell a=3.6581 b=3.7469 c=4.2225 alpha=90.00 beta=90.00 gamma=90.00
Space group Pmmm (No. 47)
Inequivalent atoms, fractional coordinates:
Zn 0.0000 0.0000 0.0000 x1
Cu 0.5000 0.5000 0.0000 x1
Mo 0.0000 0.5000 0.5000 x1
Mo 0.5000 0.0000 0.5000 x1

=====

No. 9
Density functional theory data (GGA-PBE) for a relaxed structure of Zn2CuMo.

Output
- Energy: -4.08 eV per atom
- Spin magnetization: 7.35 Bohr magnetons per cell

Unit cell a=6.1182 b=6.1182 c=6.1182 alpha=90.00 beta=90.00 gamma=90.00
Space group F-43m (No. 216)
Inequivalent atoms, fractional coordinates:
Zn 0.0000 0.0000 0.0000 x4
Zn 0.2500 0.2500 0.2500 x4
Cu 0.0000 0.0000 0.5000 x4
Mo 0.2500 0.2500 0.7500 x4

=====

No. 10
Density functional theory data (GGA-PBE) for a relaxed structure of ZnCuMo2.

Output
- Energy: -6.43 eV per atom
- Spin magnetization: 0.00 Bohr magnetons per cell

Unit cell a=3.3494 b=3.3494 c=5.1696 alpha=90.00 beta=90.00 gamma=90.00
Space group P4/mmm (No. 123)
Inequivalent atoms, fractional coordinates:
Zn 0.0000 0.0000 0.0000 x1
Cu 0.0000 0.0000 0.5000 x1
Mo 0.5000 0.5000 0.2546 x2

=====

No. 11
Density functional theory data (GGA-PBE) for a relaxed structure of ZnCuMo2.

Output
- Energy: -6.53 eV per atom
- Spin magnetization: 0.00 Bohr magnetons per cell

Unit cell a=2.6154 b=4.0782 c=5.5305 alpha=90.00 beta=90.00 gamma=90.00
Space group Pmm2 (No. 25)
Inequivalent atoms, fractional coordinates:
Zn 0.0000 0.0000 0.0000 x1
Cu 0.5000 0.5000 0.2279 x1
Mo 0.0000 0.0000 0.4888 x1
Mo 0.5000 0.5000 0.7369 x1

=====

No. 12
Density functional theory data (GGA-PBE) for a relaxed structure of ZnCuMo2.

Output
- Energy: -6.44 eV per atom
- Spin magnetization: 0.00 Bohr magnetons per cell

Unit cell a=2.7332 b=2.7332 c=27.3729 alpha=90.00 beta=90.00 gamma=120.00
Space group R-3m (No. 166, hexagonal axes)
Inequivalent atoms, fractional coordinates:
Zn 0.0000 0.0000 0.0000 x3
Cu 0.0000 0.0000 0.5000 x3
Mo 0.0000 0.0000 0.2483 x6

=====

No. 13
Density functional theory data (GGA-PBE) for a relaxed structure of Zn2CuMo.

Output
- Energy: -4.23 eV per atom
- Spin magnetization: 0.00 Bohr magnetons per cell

Unit cell a=2.5948 b=4.3355 c=5.1015 alpha=90.00 beta=97.42 gamma=90.00
Space group Pm (No. 6)
Inequivalent atoms, fractional coordinates:
Zn 0.0000 0.0000 0.0000 x1
Zn 0.0488 0.5000 0.7218 x1
Cu 0.7464 0.5000 0.2288 x1
Mo 0.4484 0.0000 0.4981 x1

=====

No. 14
Density functional theory data (GGA-PBE) for a relaxed structure of ZnCu3Mo.

Output
- Energy: -3.36 eV per atom
- Spin magnetization: 0.00 Bohr magnetons per cell

Unit cell a=4.7015 b=4.7015 c=4.7015 alpha=90.00 beta=90.00 gamma=90.00
Space group Pm-3m (No. 221)
Inequivalent atoms, fractional coordinates:
Zn 0.0000 0.0000 0.0000 x1
Cu 0.0000 0.5000 0.5000 x3
Mo 0.5000 0.5000 0.5000 x1

=====

No. 15
Density functional theory data (GGA-PBE) for a relaxed structure of Zn2CuMo.

Output
- Energy: -4.19 eV per atom
- Spin magnetization: 0.83 Bohr magnetons per cell

Unit cell a=9.5974 b=2.6159 c=4.8086 alpha=90.00 beta=108.37 gamma=90.00
Space group C2/m (No. 12)
Inequivalent atoms, fractional coordinates:
Zn 0.2351 0.0000 0.2433 x4
Cu 0.0000 0.5000 0.0000 x2
Mo 0.0000 0.0000 0.5000 x2

=====

No. 16
Density functional theory data (GGA-PBE) for a relaxed structure of ZnCuMo2.

Output
- Energy: -6.61 eV per atom
- Spin magnetization: 0.00 Bohr magnetons per cell

Unit cell a=3.6329 b=3.7695 c=8.4427 alpha=90.00 beta=90.00 gamma=90.00
Space group Immm (No. 71)
Inequivalent atoms, fractional coordinates:
Zn 0.0000 0.0000 0.0000 x2
Cu 0.0000 0.0000 0.5000 x2
Mo 0.0000 0.5000 0.2496 x4

=====

No. 17
Density functional theory data (GGA-PBE) for a relaxed structure of ZrCuMo2.

Output
- Energy: -8.13 eV per atom
- Spin magnetization: 0.00 Bohr magnetons per cell

Unit cell a=2.8047 b=2.8047 c=29.4015 alpha=90.00 beta=90.00 gamma=120.00
Space group R-3m (No. 166, hexagonal axes)
Inequivalent atoms, fractional coordinates:
Zr 0.0000 0.0000 0.0000 x3
Cu 0.0000 0.0000 0.5000 x3
Mo 0.0000 0.0000 0.2420 x6

=====

No. 18
Density functional theory data (GGA-PBE) for a relaxed structure of ZrCuMo2.

Output
- Energy: -8.33 eV per atom
- Spin magnetization: 0.00 Bohr magnetons per cell

Unit cell a=3.8737 b=3.8737 c=8.9145 alpha=90.00 beta=90.00 gamma=90.00
Space group I4/mmm (No. 139)
Inequivalent atoms, fractional coordinates:
Zr 0.0000 0.0000 0.0000 x2
Cu 0.0000 0.0000 0.5000 x2
Mo 0.0000 0.5000 0.2500 x4

=====

No. 19
Density functional theory data (GGA-PBE) for a relaxed structure of ZrCuMo.

Output
- Energy: -7.90 eV per atom
- Spin magnetization: 0.00 Bohr magnetons per cell

Unit cell a=5.2124 b=5.2124 c=39.0621 alpha=90.00 beta=90.00 gamma=120.00
Space group R-3m (No. 166, hexagonal axes)
Inequivalent atoms, fractional coordinates:
Zr 0.0000 0.0000 0.0426 x6
Zr 0.0000 0.0000 0.1801 x6
Zr 0.0000 0.0000 0.2626 x6
Cu 0.0088 0.5044 0.7792 x18
Mo 0.0000 0.0000 0.3922 x6
Mo 0.0000 0.0000 0.5000 x3
Mo 0.0000 0.5000 0.0000 x9

=====

No. 20
Density functional theory data (GGA-PBE) for a relaxed structure of ZrCuMo2.

Output
- Energy: -8.36 eV per atom
- Spin magnetization: 0.00 Bohr magnetons per cell

Unit cell a=9.4247 b=3.1765 c=4.5724 alpha=90.00 beta=103.62 gamma=90.00
Space group C2/m (No. 12)
Inequivalent atoms, fractional coordinates:
Zr 0.0000 0.0000 0.0000 x2
Cu 0.0000 0.5000 0.5000 x2
Mo 0.2320 0.0000 0.7182 x4

=====

No. 21
Density functional theory data (GGA-PBE) for a relaxed structure of ZrCuMo2.

Output
- Energy: -7.96 eV per atom
- Spin magnetization: 0.00 Bohr magnetons per cell

Unit cell a=7.4192 b=7.4192 c=5.1282 alpha=90.00 beta=90.00 gamma=90.00
Space group I-42d (No. 122)
Inequivalent atoms, fractional coordinates:
Zr 0.0000 0.0000 0.0000 x4
Cu 0.0000 0.0000 0.5000 x4
Mo 0.2151 0.2500 0.6250 x8

=====

No. 22
Density functional theory data (GGA-PBE) for a relaxed structure of ZrCuMo.

Output
- Energy: -6.65 eV per atom
- Spin magnetization: 9.26 Bohr magnetons per cell

Unit cell a=6.2720 b=6.2720 c=6.2720 alpha=90.00 beta=90.00 gamma=90.00
Space group F-43m (No. 216)
Inequivalent atoms, fractional coordinates:
Zr 0.0000 0.0000 0.0000 x4
Cu 0.2500 0.2500 0.2500 x4
Mo 0.2500 0.2500 0.7500 x4

=====

No. 23
Density functional theory data (GGA-PBE) for a relaxed structure of ZrCuMo2.

Output
- Energy: -8.26 eV per atom
- Spin magnetization: 0.00 Bohr magnetons per cell

Unit cell a=5.5245 b=9.0361 c=2.6658 alpha=90.00 beta=90.00 gamma=90.00
Space group Cmmm (No. 65)
Inequivalent atoms, fractional coordinates:
Zr 0.0000 0.0000 0.0000 x2
Cu 0.0000 0.5000 0.0000 x2
Mo 0.2500 0.2500 0.5000 x4

=====

No. 24
Density functional theory data (GGA-PBE) for a relaxed structure of Zr3CuMo.

Output
- Energy: -7.22 eV per atom
- Spin magnetization: 0.00 Bohr magnetons per cell

Unit cell a=4.8286 b=4.8286 c=4.8286 alpha=90.00 beta=90.00 gamma=90.00
Space group Pm-3m (No. 221)
Inequivalent atoms, fractional coordinates:
Zr 0.0000 0.0000 0.5000 x3
Cu 0.0000 0.0000 0.0000 x1
Mo 0.5000 0.5000 0.5000 x1

=====

No. 25
Density functional theory data (GGA-PBE) for a relaxed structure of ZrCuMo2.

Output
- Energy: -8.34 eV per atom
- Spin magnetization: 0.00 Bohr magnetons per cell

Unit cell a=3.4796 b=4.2513 c=8.8573 alpha=90.00 beta=90.00 gamma=90.00
Space group Cmmm (No. 65)
Inequivalent atoms, fractional coordinates:
Zr 0.0000 0.0000 0.0000 x2
Cu 0.0000 0.0000 0.5000 x2
Mo 0.0000 0.5000 0.2755 x4

=====

No. 26
Density functional theory data (GGA-PBE) for a relaxed structure of ZrCuMo.

Output
- Energy: -7.27 eV per atom
- Spin magnetization: 0.00 Bohr magnetons per cell

Unit cell a=6.0751 b=6.0751 c=6.0751 alpha=90.00 beta=90.00 gamma=90.00
Space group F-43m (No. 216)
Inequivalent atoms, fractional coordinates:
Zr 0.0000 0.0000 0.0000 x4
Cu 0.2500 0.2500 0.2500 x4
Mo 0.0000 0.0000 0.5000 x4

=====

No. 27
Density functional theory data (GGA-PBE) for a relaxed structure of ZrCu4Mo.

Output
- Energy: -5.87 eV per atom
- Spin magnetization: 5.25 Bohr magnetons per cell

Unit cell a=6.9783 b=6.9783 c=6.9783 alpha=90.00 beta=90.00 gamma=90.00
Space group F-43m (No. 216)
Inequivalent atoms, fractional coordinates:
Zr 0.0000 0.0000 0.0000 x4
Cu 0.1245 0.1245 0.6245 x16
Mo 0.2500 0.2500 0.2500 x4

=====

No. 28
Density functional theory data (GGA-PBE) for a relaxed structure of ZrCuMo.

Output
- Energy: -7.66 eV per atom
- Spin magnetization: 0.00 Bohr magnetons per cell

Unit cell a=3.3622 b=3.3622 c=8.9412 alpha=90.00 beta=90.00 gamma=90.00
Space group I4mm (No. 107)
Inequivalent atoms, fractional coordinates:
Zr 0.0000 0.0000 0.0000 x2
Cu 0.0000 0.0000 0.6778 x2
Mo 0.0000 0.0000 0.3153 x2

=====

No. 29
Density functional theory data (GGA-PBE) for a relaxed structure of ZrCuMo2.

Output
- Energy: -8.14 eV per atom
- Spin magnetization: 0.00 Bohr magnetons per cell

Unit cell a=6.4014 b=6.4014 c=6.4014 alpha=90.00 beta=90.00 gamma=90.00
Space group Fm-3m (No. 225)
Inequivalent atoms, fractional coordinates:
Zr 0.0000 0.0000 0.0000 x4
Cu 0.0000 0.0000 0.5000 x4
Mo 0.2500 0.2500 0.2500 x8